Here is a relaxed structure of P2PbW from the Alexandria database. Energies are from PBE-GGA.

Lattice parameters (Å, degrees): 9.3193 9.3193 9.3193 19.07 19.07 19.07
Atoms (fractional coordinates):
P 0.0013 0.0013 0.0013
P 0.2749 0.2749 0.2749
Pb 0.4925 0.4925 0.4925
W 0.7313 0.7313 0.7313

Values from the calculation:
Total energy ... -6.422 eV per atom